Entry 1:
A plane-wave DFT calculation with GGA+U was carried out for a relaxed structure of VGaWO6.

Summary:
V: 11.07 Å³ per atom
space group: No. 163

Structure (CIF):
```
data_VGaWO6
_chemical_formula_sum 'V2 Ga2 W2 O12'
_space_group_name_H-M_alt 'P 1'
_space_group_IT_number 1
_space_group_name_Hall 'P 1'
_cell_length_a 5.0616
_cell_length_b 5.0616
_cell_length_c 8.9801
_cell_angle_alpha 90.00
_cell_angle_beta 90.00
_cell_angle_gamma 120.00
loop_
_atom_site_label
_atom_site_type_symbol
_atom_site_fract_x
_atom_site_fract_y
_atom_site_fract_z
O1 O 0.3366 0.9915 0.1309
V1 V 0.0000 0.0000 0.5000
V2 V 0.0000 0.0000 0.0000
W1 W 0.6667 0.3333 0.7500
Ga1 Ga 0.3333 0.6667 0.7500
O2 O 0.6548 0.9915 0.3691
O3 O 0.6548 0.6634 0.1309
O4 O 0.6634 0.6548 0.6309
O5 O 0.9915 0.3366 0.6309
O6 O 0.3452 0.0085 0.6309
O7 O 0.9915 0.6548 0.8691
O8 O 0.6634 0.0085 0.8691
W2 W 0.3333 0.6667 0.2500
O9 O 0.3452 0.3366 0.8691
O10 O 0.0085 0.6634 0.3691
O11 O 0.0085 0.3452 0.1309
Ga2 Ga 0.6667 0.3333 0.2500
O12 O 0.3366 0.3452 0.3691
```

***

Entry 2:
A plane-wave DFT calculation with GGA+U was carried out for a relaxed structure of GaPbWO6.

Summary:
V: 13.31 Å³ per atom
space group: No. 149

Structure (CIF):
```
data_GaPbWO6
_chemical_formula_sum 'Ga1 Pb1 W1 O6'
_space_group_name_H-M_alt 'P 1'
_space_group_IT_number 1
_space_group_name_Hall 'P 1'
_cell_length_a 5.2659
_cell_length_b 5.2659
_cell_length_c 4.9896
_cell_angle_alpha 90.00
_cell_angle_beta 90.00
_cell_angle_gamma 60.00
loop_
_atom_site_label
_atom_site_type_symbol
_atom_site_fract_x
_atom_site_fract_y
_atom_site_fract_z
O1 O 0.3697 0.0064 0.7151
O2 O 0.3697 0.6239 0.2848
O3 O 0.6239 0.3698 0.7151
W1 W 0.3333 0.3333 0.5000
O4 O 0.0063 0.3698 0.2848
O5 O 0.6239 0.0064 0.2848
Pb1 Pb 0.0000 0.0000 0.0000
O6 O 0.0063 0.6239 0.7151
Ga1 Ga 0.6666 0.6667 0.5000
```

***

Number 1: E -7.167 eV per atom, M_tot 0.222 μB per atom. Number 2: E -6.478 eV per atom, M_tot 0.000 μB per atom.